Run A
VASP calculation (meta-GGA SCAN) on a PBEsol-optimized structure of SrOs2W.

Cell: 5.018 5.018 2.790 Å, 90.00 90.00 100.79°
Positions (direct):
Sr 0.000 0.000 0.000
Os 0.000 0.500 0.500
Os 0.500 0.000 0.500
W 0.500 0.500 0.000

## Properties
Crystal system ... orthorhombic
Space-group type ... Cmmm (65)

Run B
VASP calculation (meta-GGA SCAN) on a PBEsol-optimized structure of SrOs2W.

Cell: 9.807 9.807 9.807 Å, 16.75 16.75 16.75°
Positions (direct):
Sr 0.000 0.000 0.000
Os 0.240 0.240 0.240
Os 0.760 0.760 0.760
W 0.500 0.500 0.500

## Properties
Crystal system ... trigonal
Space-group type ... R-3m (166)

run B has the most favorable energy; the next structure is 264 meV per atom above.

Run A
VASP calculation (meta-GGA SCAN) on a PBEsol-optimized structure of Sr2OsW.

Cell: 3.330 3.623 9.241 Å, 90.00 90.00 90.00°
Positions (direct):
Sr 0.000 0.000 0.000
Sr 0.500 0.500 0.392
Os 0.000 0.000 0.660
W 0.500 0.500 0.727

## Properties
Crystal system ... orthorhombic
Space-group type ... Pmm2 (25)

Run B
VASP calculation (meta-GGA SCAN) on a PBEsol-optimized structure of Sr2OsW.

Cell: 5.106 5.106 5.106 Å, 60.00 60.00 60.00°
Positions (direct):
Sr 0.250 0.250 0.250
Sr 0.750 0.750 0.750
Os 0.000 0.000 0.000
W 0.500 0.500 0.500

## Properties
Crystal system ... cubic
Space-group type ... Fm-3m (225)

run A has the most favorable energy; the next structure is 1209 meV per atom above.

Run A
VASP calculation (meta-GGA SCAN) on a PBEsol-optimized structure of Sr2ZrOs.

Cell: 3.165 3.165 10.308 Å, 90.00 90.00 90.00°
Positions (direct):
Sr 0.000 0.000 0.201
Sr 0.000 0.000 0.799
Zr 0.500 0.500 0.500
Os 0.500 0.500 0.000

## Properties
Crystal system ... tetragonal
Space-group type ... P4/mmm (123)

Run B
VASP calculation (meta-GGA SCAN) on a PBEsol-optimized structure of Sr2ZrOs.

Cell: 6.161 6.161 6.161 Å, 140.67 140.67 56.84°
Positions (direct):
Sr 0.250 0.750 0.500
Sr 0.750 0.250 0.500
Zr 0.000 0.000 0.000
Os 0.500 0.500 0.000

## Properties
Crystal system ... tetragonal
Space-group type ... I4/mmm (139)

run B has the most favorable energy; the next structure is 214 meV per atom above.

Run A
VASP calculation (meta-GGA SCAN) on a PBEsol-optimized structure of Sr2ZrOs.

Cell: 3.130 5.187 5.894 Å, 90.00 90.00 90.00°
Positions (direct):
Sr 0.000 0.000 0.237
Sr 0.000 0.000 0.763
Zr 0.500 0.500 0.500
Os 0.500 0.500 0.000

## Properties
Crystal system ... orthorhombic
Space-group type ... Pmmm (47)

Run B
VASP calculation (meta-GGA SCAN) on a PBEsol-optimized structure of Sr2ZrOs.

Cell: 5.116 5.116 5.116 Å, 60.00 60.00 60.00°
Positions (direct):
Sr 0.000 0.000 0.000
Sr 0.250 0.250 0.250
Zr 0.750 0.750 0.750
Os 0.500 0.500 0.500

## Properties
Crystal system ... cubic
Space-group type ... F-43m (216)

run B has the most favorable energy; the next structure is 243 meV per atom above.

Run A
VASP calculation (meta-GGA SCAN) on a PBEsol-optimized structure of Ta2Os3.

Cell: 7.047 5.343 8.119 Å, 58.91 40.48 80.61°
Positions (direct):
Ta 0.265 0.735 0.340
Ta 0.590 0.910 0.515
Ta 0.735 0.265 0.660
Ta 0.910 0.590 0.985
Os 0.119 0.811 0.075
Os 0.175 0.255 0.131
Os 0.255 0.175 0.439
Os 0.431 0.431 0.569
Os 0.681 0.681 0.819
Os 0.811 0.119 0.995

## Properties
Crystal system ... orthorhombic
Space-group type ... Fdd2 (43)

Run B
VASP calculation (meta-GGA SCAN) on a PBEsol-optimized structure of Ta2Os3.

Cell: 4.313 4.313 5.308 Å, 90.00 90.00 120.00°
Positions (direct):
Ta 0.333 0.667 0.317
Ta 0.667 0.333 0.683
Os 0.000 0.000 0.500
Os 0.333 0.667 0.833
Os 0.667 0.333 0.167

## Properties
Crystal system ... trigonal
Space-group type ... P-3m1 (164)

run A has the most favorable energy; the next structure is 257 meV per atom above.

Run A
VASP calculation (meta-GGA SCAN) on a PBEsol-optimized structure of TaTcOs2.

Cell: 4.774 4.774 4.774 Å, 131.77 131.77 70.59°
Positions (direct):
Ta 0.000 0.000 0.000
Tc 0.500 0.500 0.000
Os 0.250 0.750 0.500
Os 0.750 0.250 0.500

## Properties
Crystal system ... tetragonal
Space-group type ... I4/mmm (139)

Run B
VASP calculation (meta-GGA SCAN) on a PBEsol-optimized structure of TaTcOs2.

Cell: 5.152 5.152 5.152 Å, 144.83 129.50 63.03°
Positions (direct):
Ta 0.000 0.000 0.000
Tc 0.767 0.267 0.500
Os 0.237 0.737 0.500
Os 0.507 0.507 0.000

## Properties
Crystal system ... orthorhombic
Space-group type ... Imm2 (44)

run A has the most favorable energy; the next structure is 166 meV per atom above.

Run A
VASP calculation (meta-GGA SCAN) on a PBEsol-optimized structure of Ta2TlOs.

Cell: 4.631 4.631 4.631 Å, 60.00 60.00 60.00°
Positions (direct):
Ta 0.250 0.250 0.250
Ta 0.750 0.750 0.750
Tl 0.000 0.000 0.000
Os 0.500 0.500 0.500

## Properties
Crystal system ... cubic
Space-group type ... Fm-3m (225)

Run B
VASP calculation (meta-GGA SCAN) on a PBEsol-optimized structure of Ta2TlOs.

Cell: 5.194 5.194 5.194 Å, 134.85 134.85 65.76°
Positions (direct):
Ta 0.000 0.000 0.000
Ta 0.750 0.250 0.500
Tl 0.500 0.500 0.000
Os 0.250 0.750 0.500

## Properties
Crystal system ... tetragonal
Space-group type ... I-4m2 (119)

run B has the most favorable energy; the next structure is 163 meV per atom above.

Run A
VASP calculation (meta-GGA SCAN) on a PBEsol-optimized structure of TaOsW.

Cell: 4.284 4.284 4.284 Å, 60.00 60.00 60.00°
Positions (direct):
Ta 0.000 0.000 0.000
Os 0.750 0.750 0.750
W 0.250 0.250 0.250

## Properties
Crystal system ... cubic
Space-group type ... F-43m (216)

Run B
VASP calculation (meta-GGA SCAN) on a PBEsol-optimized structure of TaOsW.

Cell: 6.216 6.216 6.216 Å, 153.51 153.51 37.81°
Positions (direct):
Ta 0.000 0.000 0.000
Os 0.335 0.335 0.000
W 0.686 0.686 0.000

## Properties
Crystal system ... tetragonal
Space-group type ... I4mm (107)

run B has the most favorable energy; the next structure is 953 meV per atom above.